Entry 1:
Below is Rb2TaSeO6 after structural relaxation, with properties calculated at the PBE level.

POSCAR file:
```
Rb2TaSeO6
1.0
-2.853 2.853 4.028
2.853 -2.853 4.028
2.853 2.853 -4.028
Rb Ta Se O
2 1 1 6
Direct
0.250 0.750 0.500
0.750 0.250 0.500
0.000 0.000 0.000
0.500 0.500 0.000
0.251 0.251 0.501
0.251 0.749 0.000
0.252 0.252 0.000
0.748 0.748 0.000
0.749 0.251 0.000
0.749 0.749 0.499
```

Output
The value obtained for the final energy is -6.248 eV per atom. The total moment is 0.0 μB/cell. Its formation energy from raw total energies is -1.546 eV per atom.


Entry 2:
Below is RbTaSeO5 after structural relaxation, with properties calculated at the PBE level.

POSCAR file:
```
RbTaSeO5
1.0
3.636 -4.754 0.000
3.636 4.754 0.000
-2.240 0.000 7.193
Rb Ta Se O
2 2 2 10
Direct
0.155 0.845 0.750
0.845 0.155 0.250
0.500 0.500 0.000
0.500 0.500 0.500
0.184 0.816 0.250
0.816 0.184 0.750
0.163 0.315 0.950
0.205 0.608 0.384
0.315 0.163 0.450
0.392 0.795 0.116
0.441 0.559 0.750
0.559 0.441 0.250
0.608 0.205 0.884
0.685 0.837 0.550
0.795 0.392 0.616
0.837 0.685 0.050
```

Output
The value obtained for the final energy is -6.873 eV per atom. The total moment is 0.0 μB/cell. Its formation energy from raw total energies is -1.736 eV per atom.


Entry 3:
Below is RbTb3Se4O12 after structural relaxation, with properties calculated at the PBE level.

POSCAR file:
```
RbTb3Se4O12
1.0
6.179 3.567 2.828
-6.179 3.567 2.828
0.000 -7.135 2.828
Rb Tb Se O
1 3 4 12
Direct
0.000 0.000 0.000
0.000 0.567 0.433
0.433 0.000 0.567
0.567 0.433 0.000
0.067 0.500 0.933
0.500 0.500 0.500
0.500 0.933 0.067
0.933 0.067 0.500
0.081 0.625 0.779
0.117 0.883 0.500
0.221 0.375 0.919
0.346 0.654 0.500
0.375 0.919 0.221
0.500 0.117 0.883
0.500 0.346 0.654
0.625 0.779 0.081
0.654 0.500 0.346
0.779 0.081 0.625
0.883 0.500 0.117
0.919 0.221 0.375
```

Output
The value obtained for the final energy is -6.030 eV per atom. The total moment is 0.8 μB/cell. Its formation energy from raw total energies is -1.616 eV per atom.


Entry 4:
Below is RbTbSeO6 after structural relaxation, with properties calculated at the PBE level.

POSCAR file:
```
RbTbSeO6
1.0
5.627 0.000 0.000
-2.814 4.874 0.000
0.000 0.000 6.094
Rb Tb Se O
1 1 1 6
Direct
0.000 0.000 0.000
0.333 0.667 0.500
0.667 0.333 0.500
0.412 0.064 0.670
0.412 0.348 0.330
0.652 0.064 0.330
0.652 0.588 0.670
0.936 0.348 0.670
0.936 0.588 0.330
```

Output
The value obtained for the final energy is -5.648 eV per atom. The total moment is 2.0 μB/cell. Its formation energy from raw total energies is -1.334 eV per atom.


Entry 5:
Below is Rb2TbSeO6 after structural relaxation, with properties calculated at the PBE level.

POSCAR file:
```
Rb2TbSeO6
1.0
6.489 0.000 0.000
-3.244 5.619 0.000
0.000 0.000 5.757
Rb Tb Se O
2 1 1 6
Direct
0.333 0.667 0.114
0.667 0.333 0.886
0.000 0.000 0.500
0.000 0.000 0.000
0.131 0.262 0.809
0.131 0.869 0.809
0.262 0.131 0.191
0.738 0.869 0.809
0.869 0.131 0.191
0.869 0.738 0.191
```

Output
The value obtained for the final energy is -5.502 eV per atom. The total moment is 1.0 μB/cell. Its formation energy from raw total energies is -1.522 eV per atom.


Entry 6:
Below is RbTcSe2O8 after structural relaxation, with properties calculated at the PBE level.

POSCAR file:
```
RbTcSe2O8
1.0
4.317 -2.801 0.000
4.317 2.801 0.000
-0.695 0.000 8.429
Rb Tc Se O
1 1 2 8
Direct
0.000 0.000 0.000
0.000 0.000 0.500
0.372 0.372 0.687
0.628 0.628 0.313
0.234 0.234 0.524
0.243 0.742 0.675
0.258 0.757 0.325
0.313 0.313 0.868
0.687 0.687 0.132
0.742 0.243 0.675
0.757 0.258 0.325
0.766 0.766 0.476
```

Output
The value obtained for the final energy is -5.759 eV per atom. The total moment is 2.0 μB/cell. Its formation energy from raw total energies is -0.929 eV per atom.


Entry 7:
Below is RbTeSe2O8 after structural relaxation, with properties calculated at the PBE level.

POSCAR file:
```
RbTeSe2O8
1.0
5.598 -2.815 0.000
5.598 2.815 0.000
-3.354 0.000 6.771
Rb Te Se O
1 1 2 8
Direct
0.000 0.000 0.000
0.500 0.500 0.500
0.205 0.205 0.665
0.795 0.795 0.335
0.113 0.638 0.287
0.178 0.178 0.433
0.362 0.362 0.831
0.362 0.887 0.713
0.638 0.113 0.287
0.638 0.638 0.169
0.822 0.822 0.567
0.887 0.362 0.713
```

Output
The value obtained for the final energy is -5.034 eV per atom. The total moment is 1.0 μB/cell. Its formation energy from raw total energies is -0.805 eV per atom.


Entry 8:
Below is RbTeSeO6 after structural relaxation, with properties calculated at the PBE level.

POSCAR file:
```
RbTeSeO6
1.0
5.247 0.000 0.000
-2.624 4.544 0.000
0.000 0.000 6.471
Rb Te Se O
1 1 1 6
Direct
0.000 0.000 0.000
0.667 0.333 0.500
0.333 0.667 0.500
0.001 0.389 0.673
0.001 0.612 0.327
0.388 0.389 0.327
0.388 0.999 0.673
0.611 0.612 0.673
0.611 0.999 0.327
```

Output
The value obtained for the final energy is -5.086 eV per atom. The total moment is 0.3 μB/cell. Its formation energy from raw total energies is -0.936 eV per atom.


Entry 9:
Below is RbThSe2O8 after structural relaxation, with properties calculated at the PBE level.

POSCAR file:
```
RbThSe2O8
1.0
4.705 -3.066 0.000
4.705 3.066 0.000
-0.411 0.000 8.734
Rb Th Se O
1 1 2 8
Direct
0.000 0.000 0.000
0.000 0.000 0.500
0.370 0.370 0.721
0.630 0.630 0.279
0.214 0.712 0.693
0.236 0.236 0.578
0.288 0.786 0.307
0.305 0.305 0.893
0.695 0.695 0.107
0.712 0.214 0.693
0.764 0.764 0.422
0.786 0.288 0.307
```

Output
The value obtained for the final energy is -6.118 eV per atom. The total moment is 0.0 μB/cell. Its formation energy from raw total energies is -1.533 eV per atom.


Entry 10:
Below is RbTiSeO5 after structural relaxation, with properties calculated at the PBE level.

POSCAR file:
```
RbTiSeO5
1.0
3.647 -4.808 0.000
3.647 4.808 0.000
-2.987 0.000 6.743
Rb Ti Se O
2 2 2 10
Direct
0.167 0.833 0.750
0.833 0.167 0.250
0.500 0.500 0.000
0.500 0.500 0.500
0.192 0.808 0.250
0.808 0.192 0.750
0.122 0.290 0.908
0.216 0.610 0.391
0.290 0.122 0.408
0.390 0.784 0.109
0.454 0.546 0.750
0.546 0.454 0.250
0.610 0.216 0.891
0.710 0.878 0.592
0.784 0.390 0.609
0.878 0.710 0.092
```

Output
The value obtained for the final energy is -6.253 eV per atom. The total moment is 0.0 μB/cell. Its formation energy from raw total energies is -1.610 eV per atom.


Entry 11:
Below is Rb2TlSeO4 after structural relaxation, with properties calculated at the PBE level.

POSCAR file:
```
Rb2TlSeO4
1.0
-3.442 3.442 3.870
3.442 -3.442 3.870
3.442 3.442 -3.870
Rb Tl Se O
2 1 1 4
Direct
0.000 0.000 0.000
0.750 0.250 0.500
0.500 0.500 0.000
0.250 0.750 0.500
0.239 0.723 0.195
0.277 0.471 0.516
0.529 0.044 0.805
0.956 0.761 0.484
```

Output
The value obtained for the final energy is -4.453 eV per atom. The total moment is 1.0 μB/cell. Its formation energy from raw total energies is -1.001 eV per atom.


Entry 12:
Below is Rb3TlSe2O8 after structural relaxation, with properties calculated at the PBE level.

POSCAR file:
```
Rb3TlSe2O8
1.0
6.365 0.000 0.000
-3.182 5.512 0.000
0.000 0.000 8.259
Rb Tl Se O
3 1 2 8
Direct
0.000 0.000 0.000
0.333 0.667 0.682
0.667 0.333 0.318
0.000 0.000 0.500
0.333 0.667 0.213
0.667 0.333 0.787
0.190 0.380 0.285
0.190 0.810 0.285
0.333 0.667 0.012
0.380 0.190 0.715
0.620 0.810 0.285
0.667 0.333 0.988
0.810 0.190 0.715
0.810 0.620 0.715
```

Output
The value obtained for the final energy is -4.957 eV per atom. The total moment is 0.0 μB/cell. Its formation energy from raw total energies is -1.250 eV per atom.


Q: Which value of total moment does entry 12 give?
A: 0.0 μB/cell


Q: Among the records above, which one has the lowest final energy?
A: RbTaSeO5


Q: What is the formation energy from raw total energies in the eighth record?
A: -0.936 eV per atom